Compound: Tb5Sm3Dy4
Source: Alexandria
Functional: GGA-PBE
Structure: optimized geometry

Output
Spin magnetization   0.0000 μB/atom
DFT total energy   -4.63 eV/atom
DFT formation energy   0.01 eV per atom

POSCAR file:
```
Tb5Sm3Dy4
1.0
6.888 -0.424 1.830
-5.181 7.515 -6.644
4.079 -3.929 11.558
Sm Tb Dy
3 5 4
Direct
0.416 0.833 0.667
0.000 0.000 0.500
0.584 0.167 0.333
0.749 0.501 0.001
0.667 0.333 0.166
0.251 0.499 0.999
0.333 0.667 0.834
0.500 0.000 0.500
0.167 0.333 0.167
0.917 0.834 0.668
0.833 0.667 0.833
0.083 0.166 0.332
```

***

Compound: Tb2SmDy4
Source: Alexandria
Functional: GGA-PBE
Structure: optimized geometry

Output
Spin magnetization   0.0000 μB/atom
DFT total energy   -4.59 eV/atom
DFT formation energy   0.04 eV per atom

POSCAR file:
```
Tb2SmDy4
1.0
-2.598 -1.446 1.901
-2.181 0.473 -9.167
3.858 -6.845 3.335
Dy Sm Tb
4 1 2
Direct
0.589 0.294 0.410
0.411 0.706 0.590
0.806 0.163 0.715
0.194 0.837 0.285
0.000 0.000 0.000
0.640 0.570 0.860
0.360 0.430 0.140
```

***

Compound: TbSmDy4
Source: Alexandria
Functional: GGA-PBE
Structure: optimized geometry

Output
Spin magnetization   0.0000 μB/atom
DFT total energy   -4.47 eV/atom
DFT formation energy   0.15 eV per atom

POSCAR file:
```
TbSmDy4
1.0
6.471 -0.570 0.000
-2.400 8.386 0.000
-2.036 -3.908 7.393
Dy Sm Tb
8 2 2
Direct
0.060 0.176 0.751
0.754 0.711 0.601
0.246 0.289 0.399
0.653 0.110 0.399
0.809 0.425 0.249
0.191 0.575 0.751
0.940 0.824 0.249
0.347 0.890 0.601
0.743 0.993 0.985
0.257 0.007 0.015
0.664 0.414 0.828
0.336 0.586 0.172
```